# BaLi2Mg | Alexandria via LeMat-Bulk | PBE-GGA | relaxed
data_BaLi2Mg
_cell_length_a 10.983
_cell_length_b 10.983
_cell_length_c 10.983
_cell_angle_alpha 34.29
_cell_angle_beta 34.29
_cell_angle_gamma 34.29
_space_group_name_H-M_alt 'P 1'
_space_group_IT_number 1
loop_
_space_group_symop_operation_xyz
'x,y,z'
loop_
_atom_site_label
_atom_site_type_symbol
_atom_site_fract_x
_atom_site_fract_y
_atom_site_fract_z
Ba1 Ba 0.000 0.000 0.000
Ba2 Ba 0.143 0.143 0.143
Ba3 Ba 0.857 0.857 0.857
Li1 Li 0.088 0.576 0.576
Li2 Li 0.424 0.424 0.912
Li3 Li 0.424 0.912 0.424
Li4 Li 0.576 0.088 0.576
Li5 Li 0.576 0.576 0.088
Li6 Li 0.912 0.424 0.424
Mg1 Mg 0.332 0.332 0.332
Mg2 Mg 0.500 0.500 0.500
Mg3 Mg 0.668 0.668 0.668
# - DFT total energy: -7.41 eV per formula unit
# - Fermi-level density of states: 7.63 states/eV/cell
# - Formation energy: -0.35 kcal/mol of atoms

---

# Sr4TlBi | Alexandria via LeMat-Bulk | PBE-GGA | relaxed
data_Sr4TlBi
_cell_length_a 9.291
_cell_length_b 9.291
_cell_length_c 7.583
_cell_angle_alpha 108.44
_cell_angle_beta 108.44
_cell_angle_gamma 109.58
_space_group_name_H-M_alt 'P 1'
_space_group_IT_number 1
loop_
_space_group_symop_operation_xyz
'x,y,z'
loop_
_atom_site_label
_atom_site_type_symbol
_atom_site_fract_x
_atom_site_fract_y
_atom_site_fract_z
Sr1 Sr 0.056 0.699 0.904
Sr2 Sr 0.241 0.360 0.732
Sr3 Sr 0.301 0.944 0.596
Sr4 Sr 0.360 0.241 0.232
Sr5 Sr 0.640 0.759 0.768
Sr6 Sr 0.699 0.056 0.404
Sr7 Sr 0.759 0.640 0.268
Sr8 Sr 0.944 0.301 0.096
Tl1 Tl 0.002 0.998 0.750
Tl2 Tl 0.998 0.002 0.250
Bi1 Bi 0.363 0.637 0.250
Bi2 Bi 0.637 0.363 0.750
# - DFT total energy: -15.94 eV per formula unit
# - Fermi-level density of states: 7.99 states/eV/cell
# - Formation energy: -11.38 kcal/mol of atoms

---

# Hf2ScPb | Alexandria via LeMat-Bulk | PBE-GGA | relaxed
data_Hf2ScPb
_cell_length_a 4.416
_cell_length_b 4.416
_cell_length_c 4.621
_cell_angle_alpha 90.00
_cell_angle_beta 90.00
_cell_angle_gamma 90.00
_space_group_name_H-M_alt 'P 1'
_space_group_IT_number 1
loop_
_space_group_symop_operation_xyz
'x,y,z'
loop_
_atom_site_label
_atom_site_type_symbol
_atom_site_fract_x
_atom_site_fract_y
_atom_site_fract_z
Hf1 Hf 0.000 0.500 0.000
Hf2 Hf 0.500 0.000 0.000
Sc1 Sc 0.000 0.000 0.500
Pb1 Pb 0.500 0.500 0.500
# - DFT total energy: -30.21 eV per formula unit
# - Fermi-level density of states: 5.25 states/eV/cell
# - Formation energy: -1.51 kcal/mol of atoms

---

# Dy2Al3GaPd4 | Alexandria via LeMat-Bulk | PBE-GGA | relaxed
data_Dy2Al3GaPd4
_cell_length_a 4.304
_cell_length_b 4.304
_cell_length_c 10.076
_cell_angle_alpha 90.00
_cell_angle_beta 90.00
_cell_angle_gamma 90.00
_space_group_name_H-M_alt 'P 1'
_space_group_IT_number 1
loop_
_space_group_symop_operation_xyz
'x,y,z'
loop_
_atom_site_label
_atom_site_type_symbol
_atom_site_fract_x
_atom_site_fract_y
_atom_site_fract_z
Dy1 Dy 0.000 0.500 0.249
Dy2 Dy 0.500 0.000 0.751
Al1 Al 0.000 0.000 0.000
Al2 Al 0.000 0.500 0.626
Al3 Al 0.500 0.000 0.374
Ga1 Ga 0.500 0.500 0.000
Pd1 Pd 0.000 0.000 0.500
Pd2 Pd 0.000 0.500 0.867
Pd3 Pd 0.500 0.000 0.133
Pd4 Pd 0.500 0.500 0.500
# - DFT total energy: -52.62 eV per formula unit
# - Fermi-level density of states: 6.97 states/eV/cell
# - Formation energy: -19.35 kcal/mol of atoms